Here is an optimized crystal structure of PmEr2AlPd4 from Alexandria. Energies are from PBE. Values from VASP.

Values from the calculation:
The energy of formation from the pure elements is -839.1 meV/atom. The size of the total moment is 0.000 μB per cell. Its symmetry is R-3m, No. 166.

Quantum ESPRESSO input file:
```
&SYSTEM
  ibrav = 0, nat = 8, ntyp = 4
/
ATOMIC_SPECIES
Pm 145.00 Pm.upf
Er 167.26 Er.upf
Al 26.98 Al.upf
Pd 106.42 Pd.upf
ATOMIC_POSITIONS angstrom
Pm 0.000 0.000 0.000
Er 0.000 0.000 5.933
Er 0.000 0.000 18.485
Al 0.000 0.000 12.209
Pd 0.000 0.000 3.139
Pd 0.000 0.000 9.596
Pd 0.000 0.000 14.822
Pd 0.000 0.000 21.279
CELL_PARAMETERS angstrom
2.396 1.383 8.139
-2.396 1.383 8.139
0.000 -2.766 8.139
```

---

Here is an optimized crystal structure of AlGeRh2 from Alexandria. Energies are from PBE. Values from VASP.

Values from the calculation:
The energy of formation from the pure elements is -227.5 meV/atom. The size of the total moment is 0.000 μB per cell. Its symmetry is I-42d, No. 122.

Quantum ESPRESSO input file:
```
&SYSTEM
  ibrav = 0, nat = 8, ntyp = 3
/
ATOMIC_SPECIES
Al 26.98 Al.upf
Ge 72.64 Ge.upf
Rh 102.91 Rh.upf
ATOMIC_POSITIONS angstrom
Al 0.000 0.000 0.000
Al 0.000 1.994 4.085
Ge 1.994 0.000 4.085
Ge 0.000 0.000 8.169
Rh 2.991 0.993 -2.042
Rh 0.993 0.997 2.042
Rh -0.997 1.001 6.127
Rh 1.001 0.997 10.211
CELL_PARAMETERS angstrom
-1.994 1.994 8.169
1.994 -1.994 8.169
1.994 1.994 -8.169
```

---

Here is an optimized crystal structure of Tb4Pm3ScSe8 from Alexandria. Energies are from PBE. Values from VASP.

Values from the calculation:
The size of the total moment is 0.001 μB per cell. As for the formation energy (no corrections): -1.755 eV/atom. Its symmetry is R-3m, No. 166.

Quantum ESPRESSO input file:
```
&SYSTEM
  ibrav = 0, nat = 16, ntyp = 4
/
ATOMIC_SPECIES
Tb 158.93 Tb.upf
Pm 145.00 Pm.upf
Sc 44.96 Sc.upf
Se 78.96 Se.upf
ATOMIC_POSITIONS angstrom
Tb 0.000 0.000 0.000
Tb -2.057 -1.188 6.717
Tb -2.057 1.188 13.434
Tb 0.000 2.375 6.717
Pm -4.114 0.000 10.075
Pm -2.057 1.188 3.358
Pm 2.057 1.188 3.358
Sc 0.000 0.000 10.075
Se 0.000 0.000 5.102
Se 0.000 -2.293 8.392
Se -1.985 1.146 8.392
Se -1.985 -1.146 11.759
Se 1.985 1.146 8.392
Se 1.985 -1.146 11.759
Se 0.000 2.293 11.759
Se 0.000 0.000 15.049
CELL_PARAMETERS angstrom
4.114 2.375 6.717
-4.114 2.375 6.717
0.000 -4.750 6.717
```

---

Here is an optimized crystal structure of SmNiGe from Alexandria. Energies are from PBE. Values from VASP.

Values from the calculation:
The energy of formation from the pure elements is -338.0 meV/atom. The size of the total moment is 0.000 μB per cell. Its symmetry is Cmmm, No. 65.

Quantum ESPRESSO input file:
```
&SYSTEM
  ibrav = 0, nat = 6, ntyp = 3
/
ATOMIC_SPECIES
Sm 150.36 Sm.upf
Ni 58.69 Ni.upf
Ge 72.64 Ge.upf
ATOMIC_POSITIONS angstrom
Sm 0.000 0.000 2.111
Sm 0.000 0.000 8.382
Ni 2.321 0.000 4.013
Ni 2.321 0.000 6.480
Ge 0.000 0.000 5.247
Ge 2.321 0.000 0.000
CELL_PARAMETERS angstrom
2.321 -2.332 0.000
2.321 2.332 0.000
0.000 0.000 10.493
```

---

Here is an optimized crystal structure of Na2PH2O6 from Alexandria. Energies are from PBE. Values from VASP.

Values from the calculation:
The size of the total moment is 1.073 μB per cell. The electronic total energy comes out at -57.5 eV/cell. Its symmetry is C2/m, No. 12.

Quantum ESPRESSO input file:
```
&SYSTEM
  ibrav = 0, nat = 11, ntyp = 4
/
ATOMIC_SPECIES
Na 22.99 Na.upf
P 30.97 P.upf
H 1.01 H.upf
O 16.00 O.upf
ATOMIC_POSITIONS angstrom
Na 1.207 0.000 1.397
Na 4.650 0.000 3.581
P 4.460 0.000 0.000
H -0.653 0.000 3.836
H 6.510 0.000 1.141
O 3.568 1.142 0.746
O 0.292 0.000 3.564
O 2.288 1.142 4.232
O 3.568 -1.142 0.746
O 5.564 0.000 1.413
O 2.288 -1.142 4.232
CELL_PARAMETERS angstrom
4.460 -2.685 0.000
4.460 2.685 0.000
-3.064 0.000 4.977
```

---

Here is an optimized crystal structure of NpAgBi from Alexandria. Energies are from PBE. Values from VASP.

Values from the calculation:
The energy of formation from the pure elements is 188.6 meV/atom. The size of the total moment is 4.929 μB per cell. Its symmetry is P-6m2, No. 187.

Quantum ESPRESSO input file:
```
&SYSTEM
  ibrav = 0, nat = 3, ntyp = 3
/
ATOMIC_SPECIES
Np 237.00 Np.upf
Ag 107.87 Ag.upf
Bi 208.98 Bi.upf
ATOMIC_POSITIONS angstrom
Np 0.000 0.000 0.000
Ag 2.595 1.498 1.624
Bi 0.000 2.997 1.624
CELL_PARAMETERS angstrom
5.190 0.000 0.000
-2.595 4.495 0.000
0.000 0.000 3.248
```

---

Here is an optimized crystal structure of Sc2MoIr from Alexandria. Energies are from PBE. Values from VASP.

Values from the calculation:
The energy of formation from the pure elements is -217.2 meV/atom. The size of the total moment is 0.000 μB per cell. Its symmetry is C2/m, No. 12.

Quantum ESPRESSO input file:
```
&SYSTEM
  ibrav = 0, nat = 4, ntyp = 3
/
ATOMIC_SPECIES
Sc 44.96 Sc.upf
Mo 95.94 Mo.upf
Ir 192.22 Ir.upf
ATOMIC_POSITIONS angstrom
Sc 1.466 2.165 0.000
Sc 1.466 -2.165 0.000
Mo -0.539 0.000 1.369
Ir 2.393 0.000 1.369
CELL_PARAMETERS angstrom
2.932 -4.331 0.000
2.932 4.331 0.000
-1.078 0.000 2.738
```

---

Here is an optimized crystal structure of LiY2AlS5 from Alexandria. Energies are from PBE. Values from VASP.

Values from the calculation:
The size of the total moment is 0.000 μB per cell. As for the formation energy (no corrections): -1.661 eV/atom. Its symmetry is Cmc2_1, No. 36.

Quantum ESPRESSO input file:
```
&SYSTEM
  ibrav = 0, nat = 18, ntyp = 4
/
ATOMIC_SPECIES
Li 6.94 Li.upf
Y 88.91 Y.upf
Al 26.98 Al.upf
S 32.06 S.upf
ATOMIC_POSITIONS angstrom
Li 1.889 4.761 5.584
Li 1.889 -4.761 0.000
Y 1.889 6.287 1.810
Y 1.889 6.110 8.768
Y 1.889 -6.110 3.184
Y 1.889 -6.287 7.393
Al 1.889 1.149 10.463
Al 1.889 -1.149 4.879
S 1.889 7.584 6.075
S 1.889 3.439 1.671
S 1.889 3.082 9.294
S 1.889 2.353 5.376
S 1.889 -0.003 2.937
S 1.889 0.003 8.521
S 1.889 -2.353 10.960
S 1.889 -3.082 3.711
S 1.889 -3.439 7.255
S 1.889 -7.584 0.492
CELL_PARAMETERS angstrom
1.889 -8.317 0.000
1.889 8.317 0.000
0.000 0.000 11.168
```

---

Here is an optimized crystal structure of HfTiHg2 from Alexandria. Energies are from PBE. Values from VASP.

Values from the calculation:
The energy of formation from the pure elements is 20.7 meV/atom. The size of the total moment is 0.000 μB per cell. The value obtained for the energy above the most stable polymorph in this dataset is 0.038 eV per atom. Its symmetry is Fm-3m, No. 225.

Quantum ESPRESSO input file:
```
&SYSTEM
  ibrav = 0, nat = 4, ntyp = 3
/
ATOMIC_SPECIES
Hf 178.49 Hf.upf
Ti 47.87 Ti.upf
Hg 200.59 Hg.upf
ATOMIC_POSITIONS angstrom
Hf 0.000 0.000 0.000
Ti 3.425 3.425 3.425
Hg 1.712 1.712 1.712
Hg 5.137 5.137 5.137
CELL_PARAMETERS angstrom
0.000 3.425 3.425
3.425 0.000 3.425
3.425 3.425 0.000
```

---

Here is an optimized crystal structure of VFe2HW from Alexandria. Energies are from PBE. Values from VASP.

Values from the calculation:
The size of the total moment is 1.764 μB per cell. The value obtained for the energy above the most stable polymorph in this dataset is 0.063 eV per atom. Its symmetry is P4/mmm, No. 123.

Quantum ESPRESSO input file:
```
&SYSTEM
  ibrav = 0, nat = 5, ntyp = 4
/
ATOMIC_SPECIES
V 50.94 V.upf
Fe 55.84 Fe.upf
H 1.01 H.upf
W 183.84 W.upf
ATOMIC_POSITIONS angstrom
V 0.000 0.000 0.000
Fe 0.000 1.836 1.960
Fe 1.836 0.000 1.960
H 1.836 1.836 1.960
W 1.836 1.836 0.000
CELL_PARAMETERS angstrom
3.671 0.000 0.000
0.000 3.671 0.000
0.000 0.000 3.919
```

---

Here is an optimized crystal structure of RbCr3Sn from Alexandria. Energies are from PBE. Values from VASP.

Values from the calculation:
The energy of formation from the pure elements is 2250.3 meV/atom. The size of the total moment is 14.880 μB per cell. The value obtained for the energy above the most stable polymorph in this dataset is 1.148 eV per atom. Its symmetry is Pm-3m, No. 221.

Quantum ESPRESSO input file:
```
&SYSTEM
  ibrav = 0, nat = 5, ntyp = 3
/
ATOMIC_SPECIES
Rb 85.47 Rb.upf
Cr 52.00 Cr.upf
Sn 118.71 Sn.upf
ATOMIC_POSITIONS angstrom
Rb 0.000 0.000 0.000
Cr 0.000 0.000 2.745
Cr 0.000 2.745 0.000
Cr 2.745 0.000 0.000
Sn 2.745 2.745 2.745
CELL_PARAMETERS angstrom
5.490 0.000 0.000
0.000 5.490 0.000
0.000 0.000 5.490
```

---

Here is an optimized crystal structure of NaCaGaGe from Alexandria. Energies are from PBE. Values from VASP.

Values from the calculation:
The energy of formation from the pure elements is -237.4 meV/atom. The size of the total moment is 0.000 μB per cell. Its symmetry is F-43m, No. 216.

Quantum ESPRESSO input file:
```
&SYSTEM
  ibrav = 0, nat = 4, ntyp = 4
/
ATOMIC_SPECIES
Na 22.99 Na.upf
Ca 40.08 Ca.upf
Ga 69.72 Ga.upf
Ge 72.64 Ge.upf
ATOMIC_POSITIONS angstrom
Na 0.000 0.000 0.000
Ca 3.606 3.606 3.606
Ga 1.803 1.803 1.803
Ge 5.409 5.409 5.409
CELL_PARAMETERS angstrom
0.000 3.606 3.606
3.606 0.000 3.606
3.606 3.606 0.000
```

---

What is the formula in the first record? PmEr2AlPd4

---

Which of these has the highest size of the total moment? RbCr3Sn